--- A ---
# Mg6TlIn3 (PBE, optimized geometry)
data_Mg6TlIn3
_chemical_formula_sum 'Mg24 Tl4 In12'
_symmetry_space_group_name_H-M 'C m c 21'
_symmetry_Int_Tables_number 36
_cell_length_a 10.6738
_cell_length_b 15.5856
_cell_length_c 5.9585
_cell_angle_alpha 90.00
_cell_angle_beta 90.00
_cell_angle_gamma 90.00
loop_
_symmetry_equiv_pos_as_xyz
'x,y,z'
'-x,-y,z+1/2'
'-x,y,z'
'x,-y,z+1/2'
'x+1/2,y+1/2,z'
'-x+1/2,-y+1/2,z+1/2'
'-x+1/2,y+1/2,z'
'x+1/2,-y+1/2,z+1/2'
loop_
_atom_site_label
_atom_site_fract_x
_atom_site_fract_y
_atom_site_fract_z
Mg1 0.0000 0.0578 0.0000
Mg2 0.0000 0.2808 0.2654
Mg3 0.2339 0.4974 0.2445
Mg4 0.2374 0.1838 0.0010
Tl1 0.0000 0.2904 0.7857
In1 0.0000 0.4573 0.4866
In2 0.1435 0.1374 0.4923
# Size of the total moment in μB/f.u.: 0.000
# Mass density in g/cm3: 4.65
# D(E_F) in states/eV/f.u.: 3.33

=====

--- B ---
# Mg6TlIn3 (PBE, optimized geometry)
data_Mg6TlIn3
_chemical_formula_sum 'Mg12 Tl2 In6'
_symmetry_space_group_name_H-M 'P 1 21/m 1'
_symmetry_Int_Tables_number 11
_cell_length_a 9.8274
_cell_length_b 4.6832
_cell_length_c 10.1891
_cell_angle_alpha 90.00
_cell_angle_beta 91.18
_cell_angle_gamma 90.00
loop_
_symmetry_equiv_pos_as_xyz
'x,y,z'
'-x,-y,-z'
'-x,y+1/2,-z'
'x,-y+1/2,z'
loop_
_atom_site_label
_atom_site_fract_x
_atom_site_fract_y
_atom_site_fract_z
Mg1 0.0454 0.2500 0.4011
Mg2 0.1418 0.7500 0.1990
Mg3 0.2511 0.2500 0.9971
Mg4 0.3456 0.2500 0.2995
Mg5 0.3513 0.7500 0.7972
Mg6 0.4472 0.2500 0.5965
Tl1 0.4432 0.7500 0.1109
In1 0.0506 0.7500 0.8976
In2 0.1534 0.2500 0.6954
In3 0.2533 0.7500 0.4896
# Size of the total moment in μB/f.u.: 0.000
# Mass density in g/cm3: 4.92
# D(E_F) in states/eV/f.u.: 3.15

=====

Energies relative to the most stable structure, in meV/atom: A 55; B 0.